{
  "formula": "Li3Rh",
  "functional": "PBE-GGA",
  "state": "relaxed",
  "lattice": [[-1.3363, 4.4210, 2.3941], [1.3363, -4.4210, 2.3941], [1.3363, 4.4210, -2.3941]],
  "species": ["Li", "Li", "Li", "Rh"],
  "fractional_positions": [[0.0000, 0.0000, 0.0000], [0.0801, 0.3225, 0.7577], [0.5648, 0.3225, 0.2423], [0.5054, 0.0054, 0.5000]],
  "delta_e_f_mev_per_atom": -95,
  "total_magnetization_mub_per_fu": 0.4,
  "mass_density_g_cm3": 3.6
}